# BaTmNp, relaxed, DFT PBE-GGA
data_BaTmNp
_chemical_formula_sum 'Ba1 Tm1 Np1'
_cell_length_a 5.687
_cell_length_b 5.687
_cell_length_c 5.687
_cell_angle_alpha 60.00
_cell_angle_beta 60.00
_cell_angle_gamma 60.00
_symmetry_space_group_name_H-M 'P 1'
_symmetry_Int_Tables_number 1
_symmetry_space_group_name_Hall 'P 1'
loop_
_atom_site_label
_atom_site_type_symbol
_atom_site_fract_x
_atom_site_fract_y
_atom_site_fract_z
Ba1 Ba 0.250 0.250 0.250
Np1 Np 0.750 0.750 0.750
Tm1 Tm 0.000 0.000 0.000
# Theoretical density = 6.938 g cm⁻³
# Energy above the lowest structure with this stoichiometry = 0.0 meV/atom
# VASP energy = -5.056 eV per atom

***

# BaNpU, relaxed, DFT PBE-GGA
data_BaNpU
_chemical_formula_sum 'Ba1 Np1 U1'
_cell_length_a 5.150
_cell_length_b 5.150
_cell_length_c 5.150
_cell_angle_alpha 60.00
_cell_angle_beta 60.00
_cell_angle_gamma 60.00
_symmetry_space_group_name_H-M 'P 1'
_symmetry_Int_Tables_number 1
_symmetry_space_group_name_Hall 'P 1'
loop_
_atom_site_label
_atom_site_type_symbol
_atom_site_fract_x
_atom_site_fract_y
_atom_site_fract_z
Ba1 Ba 0.250 0.250 0.250
Np1 Np 0.000 0.000 0.000
U1 U 0.750 0.750 0.750
# Theoretical density = 10.529 g cm⁻³
# Energy above the lowest structure with this stoichiometry = 0.0 meV/atom
# VASP energy = -7.077 eV per atom

***

# BaYNp, relaxed, DFT PBE-GGA
data_BaYNp
_chemical_formula_sum 'Ba1 Y1 Np1'
_cell_length_a 5.675
_cell_length_b 5.675
_cell_length_c 5.675
_cell_angle_alpha 60.00
_cell_angle_beta 60.00
_cell_angle_gamma 60.00
_symmetry_space_group_name_H-M 'P 1'
_symmetry_Int_Tables_number 1
_symmetry_space_group_name_Hall 'P 1'
loop_
_atom_site_label
_atom_site_type_symbol
_atom_site_fract_x
_atom_site_fract_y
_atom_site_fract_z
Y1 Y 0.000 0.000 0.000
Np1 Np 0.750 0.750 0.750
Ba1 Ba 0.250 0.250 0.250
# Theoretical density = 5.952 g cm⁻³
# VASP energy = -5.179 eV per atom

***

# BaOsO3, relaxed, DFT PBE-GGA
data_BaOsO3
_chemical_formula_sum 'Ba2 Os2 O6'
_cell_length_a 5.704
_cell_length_b 5.704
_cell_length_c 5.704
_cell_angle_alpha 89.74
_cell_angle_beta 120.15
_cell_angle_gamma 120.15
_symmetry_space_group_name_H-M 'P 1'
_symmetry_Int_Tables_number 1
_symmetry_space_group_name_Hall 'P 1'
loop_
_atom_site_label
_atom_site_type_symbol
_atom_site_fract_x
_atom_site_fract_y
_atom_site_fract_z
O1 O 0.751 0.751 0.000
O2 O 0.251 0.248 0.503
O3 O 0.251 0.755 0.997
O4 O 0.758 0.255 0.003
O5 O 0.751 0.251 0.500
O6 O 0.745 0.748 0.497
Os1 Os 0.751 0.001 0.250
Os2 Os 0.751 0.501 0.750
Ba1 Ba 0.251 0.251 0.000
Ba2 Ba 0.251 0.751 0.500
# Theoretical density = 9.526 g cm⁻³
# VASP energy = -7.216 eV per atom

***

# BaOsO3, relaxed, DFT PBE-GGA
data_BaOsO3
_chemical_formula_sum 'Ba1 Os1 O3'
_cell_length_a 4.019
_cell_length_b 4.019
_cell_length_c 4.033
_cell_angle_alpha 90.00
_cell_angle_beta 90.00
_cell_angle_gamma 90.00
_symmetry_space_group_name_H-M 'P 1'
_symmetry_Int_Tables_number 1
_symmetry_space_group_name_Hall 'P 1'
loop_
_atom_site_label
_atom_site_type_symbol
_atom_site_fract_x
_atom_site_fract_y
_atom_site_fract_z
Os1 Os 0.500 0.500 0.780
O1 O 0.500 0.000 0.780
O2 O 0.500 0.500 0.280
O3 O 0.000 0.500 0.780
Ba1 Ba 0.000 0.000 0.280
# Theoretical density = 9.575 g cm⁻³
# VASP energy = -7.214 eV per atom

***

# BaOsO3, relaxed, DFT PBE-GGA
data_BaOsO3
_chemical_formula_sum 'Ba2 Os2 O6'
_cell_length_a 5.699
_cell_length_b 5.699
_cell_length_c 5.699
_cell_angle_alpha 60.04
_cell_angle_beta 60.04
_cell_angle_gamma 60.04
_symmetry_space_group_name_H-M 'P 1'
_symmetry_Int_Tables_number 1
_symmetry_space_group_name_Hall 'P 1'
loop_
_atom_site_label
_atom_site_type_symbol
_atom_site_fract_x
_atom_site_fract_y
_atom_site_fract_z
Os1 Os 0.500 0.500 0.500
Os2 Os 0.000 0.000 0.000
O1 O 0.263 0.237 0.750
O2 O 0.250 0.737 0.763
O3 O 0.737 0.763 0.250
O4 O 0.750 0.263 0.237
O5 O 0.237 0.750 0.263
O6 O 0.763 0.250 0.737
Ba1 Ba 0.250 0.250 0.250
Ba2 Ba 0.750 0.750 0.750
# Theoretical density = 9.519 g cm⁻³
# VASP energy = -7.215 eV per atom

***

# BaOsO3, relaxed, DFT PBE-GGA
data_BaOsO3
_chemical_formula_sum 'Ba2 Os2 O6'
_cell_length_a 5.703
_cell_length_b 5.703
_cell_length_c 5.707
_cell_angle_alpha 120.01
_cell_angle_beta 120.01
_cell_angle_gamma 60.00
_symmetry_space_group_name_H-M 'P 1'
_symmetry_Int_Tables_number 1
_symmetry_space_group_name_Hall 'P 1'
loop_
_atom_site_label
_atom_site_type_symbol
_atom_site_fract_x
_atom_site_fract_y
_atom_site_fract_z
Os1 Os 0.500 0.500 0.000
Os2 Os 0.000 0.000 0.500
O1 O 0.250 0.250 0.741
O2 O 0.254 0.754 0.754
O3 O 0.750 0.750 0.259
O4 O 0.754 0.254 0.754
O5 O 0.746 0.246 0.246
O6 O 0.246 0.746 0.246
Ba1 Ba 0.250 0.250 0.249
Ba2 Ba 0.750 0.750 0.751
# Theoretical density = 9.503 g cm⁻³
# VASP energy = -7.217 eV per atom

***

# BaOsO3, relaxed, DFT PBE-GGA
data_BaOsO3
_chemical_formula_sum 'Ba1 Os1 O3'
_cell_length_a 4.029
_cell_length_b 4.029
_cell_length_c 4.029
_cell_angle_alpha 90.00
_cell_angle_beta 90.00
_cell_angle_gamma 90.00
_symmetry_space_group_name_H-M 'P 1'
_symmetry_Int_Tables_number 1
_symmetry_space_group_name_Hall 'P 1'
loop_
_atom_site_label
_atom_site_type_symbol
_atom_site_fract_x
_atom_site_fract_y
_atom_site_fract_z
O1 O 0.500 0.000 0.500
O2 O 0.500 0.500 0.000
O3 O 0.000 0.500 0.500
Os1 Os 0.500 0.500 0.500
Ba1 Ba 0.000 0.000 0.000
# Theoretical density = 9.536 g cm⁻³
# VASP energy = -7.216 eV per atom

***

Question: What is the theoretical density in the third record?
Answer: 5.952 g cm⁻³

***

What did the first record say?
# BaTmNp, relaxed, DFT PBE-GGA
data_BaTmNp
_chemical_formula_sum 'Ba1 Tm1 Np1'
_cell_length_a 5.687
_cell_length_b 5.687
_cell_length_c 5.687
_cell_angle_alpha 60.00
_cell_angle_beta 60.00
_cell_angle_gamma 60.00
_symmetry_space_group_name_H-M 'P 1'
_symmetry_Int_Tables_number 1
_symmetry_space_group_name_Hall 'P 1'
loop_
_atom_site_label
_atom_site_type_symbol
_atom_site_fract_x
_atom_site_fract_y
_atom_site_fract_z
Ba1 Ba 0.250 0.250 0.250
Np1 Np 0.750 0.750 0.750
Tm1 Tm 0.000 0.000 0.000
# Theoretical density = 6.938 g cm⁻³
# Energy above the lowest structure with this stoichiometry = 0.0 meV/atom
# VASP energy = -5.056 eV per atom